No. 1
The following is a PBE calculation of crystalline LiHoSb at its relaxed geometry, from the Alexandria database.

Summary:
The final energy is -4.017 eV per atom. Its energy above the most stable polymorph in this dataset is 0.3106 eV/atom. The value obtained for the formation energy from raw total energies is -1.44 eV/f.u. Its symmetry is I4mm.

Unit cell a=4.107 b=4.107 c=5.250 alpha=113.03 beta=113.03 gamma=90.00
Fractional positions:
Sb1 0.297 0.297 0.594
Ho1 0.945 0.945 0.891
Li1 0.608 0.608 0.216

=====

No. 2
The following is a PBE calculation of crystalline LiHoSb at its relaxed geometry, from the Alexandria database.

Summary:
The final energy is -4.288 eV per atom. Its energy above the most stable polymorph in this dataset is 0.0401 eV/atom. The value obtained for the formation energy from raw total energies is -2.25 eV/f.u. Its symmetry is P-6m2.

Unit cell a=4.080 b=4.409 c=4.409 alpha=120.00 beta=90.00 gamma=90.00
Fractional positions:
Sb1 0.833 0.667 0.333
Ho1 0.333 0.333 0.667
Li1 0.833 0.000 0.000

=====

No. 3
The following is a PBE calculation of crystalline LiHoSb at its relaxed geometry, from the Alexandria database.

Summary:
The final energy is -4.142 eV per atom. Its energy above the most stable polymorph in this dataset is 0.1862 eV/atom. The value obtained for the formation energy from raw total energies is -1.81 eV/f.u. Its symmetry is F-43m.

Unit cell a=4.885 b=4.885 c=4.885 alpha=60.00 beta=60.00 gamma=60.00
Fractional positions:
Sb1 0.250 0.250 0.250
Ho1 0.500 0.500 0.500
Li1 0.000 0.000 0.000

=====

Number 1: total magnetization 0.001 μB per atom. Number 2: total magnetization 0.000 μB per atom. Number 3: total magnetization 0.000 μB per atom.